Record 1
Compound: Sc2BeTc2
Source: Alexandria via LeMat-Bulk
Functional: PBE
Structure: relaxed

Results
Fermi-level density of states, states/eV/cell: 7.00
Formation enthalpy at 0 K, eV/atom: -0.07

Structure (POSCAR):
```
Sc2BeTc2
1.0
6.3035 0.0000 0.0000
0.0000 6.3035 0.0000
0.0000 0.0000 4.2321
Sc Be Tc
4 2 4
Direct
0.1744 0.3256 0.0000
0.3256 0.8256 0.0000
0.6744 0.1744 0.0000
0.8256 0.6744 0.0000
0.0000 0.0000 0.5000
0.5000 0.5000 0.5000
0.1384 0.6384 0.5000
0.3616 0.1384 0.5000
0.6384 0.8616 0.5000
0.8616 0.3616 0.5000
```



Record 2
Compound: Sc2BeTc
Source: Alexandria via LeMat-Bulk
Functional: PBE
Structure: relaxed

Results
Fermi-level density of states, states/eV/cell: 5.61
Formation enthalpy at 0 K, eV/atom: 0.11

Structure (POSCAR):
```
Sc2BeTc
1.0
0.0000 3.1819 3.1819
3.1819 0.0000 3.1819
3.1819 3.1819 0.0000
Sc Be Tc
2 1 1
Direct
0.0000 0.0000 0.0000
0.2500 0.2500 0.2500
0.7500 0.7500 0.7500
0.5000 0.5000 0.5000
```



Record 3
Compound: Sc2BeTc
Source: Alexandria via LeMat-Bulk
Functional: PBE
Structure: relaxed

Results
Fermi-level density of states, states/eV/cell: 3.32
Formation enthalpy at 0 K, eV/atom: -0.10

Structure (POSCAR):
```
Sc2BeTc
1.0
4.4225 0.0000 0.0000
0.0000 4.4225 0.0000
0.0000 0.0000 3.4021
Sc Be Tc
2 1 1
Direct
0.0000 0.5000 0.0000
0.5000 0.0000 0.0000
0.0000 0.0000 0.5000
0.5000 0.5000 0.5000
```



Record 4
Compound: Sc2Be2Tc
Source: Alexandria via LeMat-Bulk
Functional: PBE
Structure: relaxed

Results
Fermi-level density of states, states/eV/cell: 10.19
Formation enthalpy at 0 K, eV/atom: -0.03

Structure (POSCAR):
```
Sc2Be2Tc
1.0
6.3445 0.0000 0.0000
0.0000 6.3445 0.0000
0.0000 0.0000 3.7877
Sc Be Tc
4 4 2
Direct
0.1864 0.3136 0.0000
0.3136 0.8136 0.0000
0.6864 0.1864 0.0000
0.8136 0.6864 0.0000
0.1199 0.6199 0.5000
0.3801 0.1199 0.5000
0.6199 0.8801 0.5000
0.8801 0.3801 0.5000
0.0000 0.0000 0.5000
0.5000 0.5000 0.5000
```



Record 5
Compound: ScBeTc3
Source: Alexandria via LeMat-Bulk
Functional: PBE
Structure: relaxed

Results
Fermi-level density of states, states/eV/cell: 5.06
Formation enthalpy at 0 K, eV/atom: 2.08
Energy above the lowest structure with this stoichiometry, eV per atom: 1.716

Structure (POSCAR):
```
ScBeTc3
1.0
4.5596 0.0000 0.0000
0.0000 4.5596 0.0000
0.0000 0.0000 4.5596
Sc Be Tc
1 1 3
Direct
0.0000 0.0000 0.0000
0.5000 0.5000 0.5000
0.0000 0.0000 0.5000
0.0000 0.5000 0.0000
0.5000 0.0000 0.0000
```



Record 6
Compound: ScBeTc2
Source: Alexandria via LeMat-Bulk
Functional: PBE
Structure: relaxed

Results
Fermi-level density of states, states/eV/cell: 3.54
Formation enthalpy at 0 K, eV/atom: 0.03

Structure (POSCAR):
```
ScBeTc2
1.0
4.3978 -1.5051 0.0000
4.3978 1.5051 0.0000
-1.3360 0.0000 4.4319
Sc Be Tc
1 1 2
Direct
0.0000 0.0000 0.0000
0.5000 0.5000 0.5000
0.2205 0.2205 0.7008
0.7795 0.7795 0.2992
```